Below is crystalline Ac2NdNi9 at its relaxed geometry, with properties calculated at the GGA-PBE level.

The structure belongs to space group R-3m (No. 166, hexagonal axes); the cell edges are 5.1019, 5.1019 and 25.5744 Å and the angles 90.00°, 90.00° and 120.00°. The distinct sites, in fractional coordinates, are Ac at (0.0000, 0.0000, 0.1358), Nd at (0.0000, 0.0000, 0.0000), Ni at (0.0000, 0.0000, 0.3326), Ni at (0.0000, 0.0000, 0.5000) and Ni at (0.0017, 0.5009, 0.0778).

For the calculated volume, the calculation gives 576.5 Å³ per cell. Its formation energy is -225 meV/atom. The crystal system is trigonal.